No. 1
{
  "formula": "Y2ZrSbSe",
  "functional": "PBEsol",
  "state": "optimized geometry",
  "cell": [[5.5318, 0.0000, 0.0000], [0.0000, 5.5318, 0.0000], [0.0000, 0.0000, 5.1867]],
  "species": ["Y", "Y", "Zr", "Sb", "Se"],
  "frac_coords": [[0.0000, 0.5000, 0.0000], [0.5000, 0.0000, 0.0000], [0.0000, 0.0000, 0.0000], [0.0000, 0.0000, 0.5000], [0.5000, 0.5000, 0.5000]],
  "raw_formation_energy_kj_per_mol_atoms": 26.5,
  "n_ef_per_ev_fu": 2.67,
  "vol_a3_per_atom": 31.74,
  "e_tot_ev_per_cell": -29.77,
  "space_group": "P4/mmm, No. 123"
}

No. 2
{
  "formula": "MoW2Br",
  "functional": "PBEsol",
  "state": "optimized geometry",
  "cell": [[3.1278, 0.0000, 0.0000], [0.0000, 4.7541, 0.0000], [0.0000, 0.0000, 8.9754]],
  "species": ["Mo", "Mo", "W", "W", "W", "W", "Br", "Br"],
  "frac_coords": [[0.0000, 0.0000, 0.0000], [0.5000, 0.5000, 0.0000], [0.0000, 0.5000, 0.2347], [0.0000, 0.5000, 0.7653], [0.5000, 0.0000, 0.2347], [0.5000, 0.0000, 0.7653], [0.0000, 0.0000, 0.5000], [0.5000, 0.5000, 0.5000]],
  "raw_formation_energy_kj_per_mol_atoms": 68.5,
  "n_ef_per_ev_fu": 3.45,
  "vol_a3_per_atom": 16.68,
  "e_tot_ev_per_cell": -76.83,
  "space_group": "Cmmm, No. 65"
}

No. 3
{
  "formula": "NiAs2S6O12F12",
  "functional": "PBEsol",
  "state": "optimized geometry",
  "cell": [[7.8203, 0.0000, 0.0000], [0.0000, 8.7235, 0.0000], [-0.5024, 0.0000, 14.7365]],
  "species": ["Ni", "Ni", "As", "As", "As", "As", "S", "S", "S", "S", "S", "S", "S", "S", "S", "S", "S", "S", "O", "O", "O", "O", "O", "O", "O", "O", "O", "O", "O", "O", "O", "O", "O", "O", "O", "O", "O", "O", "O", "O", "O", "O", "F", "F", "F", "F", "F", "F", "F", "F", "F", "F", "F", "F", "F", "F", "F", "F", "F", "F", "F", "F", "F", "F", "F", "F"],
  "frac_coords": [[0.0000, 0.0000, 0.0000], [0.0000, 0.5000, 0.5000], [0.2539, 0.0096, 0.6391], [0.2539, 0.4904, 0.1391], [0.7461, 0.5096, 0.8609], [0.7461, 0.9904, 0.3609], [0.2277, 0.2419, 0.8791], [0.2277, 0.2581, 0.3791], [0.2435, 0.7416, 0.9078], [0.2435, 0.7584, 0.4078], [0.3023, 0.0111, 0.1576], [0.3023, 0.4889, 0.6576], [0.6977, 0.5111, 0.3424], [0.6977, 0.9889, 0.8424], [0.7565, 0.2416, 0.5922], [0.7565, 0.2584, 0.0922], [0.7723, 0.7419, 0.6209], [0.7723, 0.7581, 0.1209], [0.0773, 0.1618, 0.9123], [0.0773, 0.3382, 0.4123], [0.0861, 0.6754, 0.4291], [0.0861, 0.8246, 0.9291], [0.1923, 0.5447, 0.7264], [0.1923, 0.9553, 0.2264], [0.2265, 0.0225, 0.0654], [0.2265, 0.4775, 0.5654], [0.3898, 0.1657, 0.8904], [0.3898, 0.3343, 0.3904], [0.4022, 0.6780, 0.4216], [0.4022, 0.8220, 0.9216], [0.5978, 0.1780, 0.0784], [0.5978, 0.3220, 0.5784], [0.6102, 0.6657, 0.6096], [0.6102, 0.8343, 0.1096], [0.7735, 0.5225, 0.4346], [0.7735, 0.9775, 0.9346], [0.8077, 0.0447, 0.7736], [0.8077, 0.4553, 0.2736], [0.9139, 0.1754, 0.0709], [0.9139, 0.3246, 0.5709], [0.9227, 0.6618, 0.5877], [0.9227, 0.8382, 0.0877], [0.0335, 0.0064, 0.6140], [0.0335, 0.4936, 0.1140], [0.2206, 0.5813, 0.2435], [0.2206, 0.9187, 0.7435], [0.2320, 0.1914, 0.6934], [0.2320, 0.3086, 0.1934], [0.2759, 0.6699, 0.0852], [0.2759, 0.8301, 0.5852], [0.2882, 0.1033, 0.5353], [0.2882, 0.3967, 0.0353], [0.4750, 0.0138, 0.6646], [0.4750, 0.4862, 0.1646], [0.5250, 0.5138, 0.8354], [0.5250, 0.9862, 0.3354], [0.7118, 0.6033, 0.9647], [0.7118, 0.8967, 0.4647], [0.7241, 0.1699, 0.4148], [0.7241, 0.3301, 0.9148], [0.7680, 0.6914, 0.8066], [0.7680, 0.8086, 0.3066], [0.7794, 0.0813, 0.2565], [0.7794, 0.4187, 0.7565], [0.9665, 0.5064, 0.8860], [0.9665, 0.9936, 0.3860]],
  "raw_formation_energy_kj_per_mol_atoms": -145.6,
  "vol_a3_per_atom": 15.23,
  "e_tot_ev_per_cell": -357.20,
  "space_group": "P2_1/c, No. 14"
}

No. 4
{
  "formula": "SrRh2Au",
  "functional": "PBEsol",
  "state": "optimized geometry",
  "cell": [[2.8724, 0.0000, 0.0000], [0.0000, 4.0858, 0.0000], [0.0000, 0.0000, 6.2211]],
  "species": ["Sr", "Rh", "Rh", "Au"],
  "frac_coords": [[0.0000, 0.0000, 0.0000], [0.5000, 0.5000, 0.2970], [0.5000, 0.5000, 0.7030], [0.0000, 0.0000, 0.5000]],
  "n_ef_per_ev_fu": 6.00,
  "formation_energy_ev_per_atom": 0.212,
  "vol_a3_per_atom": 18.25,
  "e_tot_ev_per_cell": -21.19,
  "space_group": "Pmmm, No. 47"
}

No. 5
{
  "formula": "LaYP",
  "functional": "PBEsol",
  "state": "optimized geometry",
  "cell": [[6.6605, 0.0000, 0.0000], [0.0000, 6.6605, 0.0000], [0.0000, 0.0000, 6.6605]],
  "species": ["La", "La", "La", "La", "Y", "Y", "Y", "Y", "P", "P", "P", "P"],
  "frac_coords": [[0.0000, 0.0000, 0.0000], [0.0000, 0.5000, 0.5000], [0.5000, 0.0000, 0.5000], [0.5000, 0.5000, 0.0000], [0.2500, 0.2500, 0.2500], [0.2500, 0.7500, 0.7500], [0.7500, 0.2500, 0.7500], [0.7500, 0.7500, 0.2500], [0.0000, 0.0000, 0.5000], [0.0000, 0.5000, 0.0000], [0.5000, 0.0000, 0.0000], [0.5000, 0.5000, 0.5000]],
  "n_ef_per_ev_fu": 3.52,
  "formation_energy_ev_per_atom": -0.014,
  "vol_a3_per_atom": 24.62,
  "e_tot_ev_per_cell": -72.01,
  "space_group": "F-43m, No. 216"
}

No. 6
{
  "formula": "In2SbTe",
  "functional": "PBEsol",
  "state": "optimized geometry",
  "cell": [[3.7738, 0.0000, 0.0000], [0.0000, 5.1720, 0.0000], [0.0000, 0.0000, 10.9143]],
  "species": ["In", "In", "In", "In", "Sb", "Sb", "Te", "Te"],
  "frac_coords": [[0.0000, 0.0000, 0.2474], [0.0000, 0.0000, 0.7526], [0.5000, 0.5000, 0.2526], [0.5000, 0.5000, 0.7474], [0.0000, 0.5000, 0.5000], [0.5000, 0.0000, 0.0000], [0.0000, 0.5000, 0.0000], [0.5000, 0.0000, 0.5000]],
  "raw_formation_energy_kj_per_mol_atoms": 1.2,
  "n_ef_per_ev_fu": 2.06,
  "vol_a3_per_atom": 26.63,
  "e_tot_ev_per_cell": -28.00,
  "space_group": "Immm, No. 71"
}

No. 7
{
  "formula": "Be3IrS",
  "functional": "PBEsol",
  "state": "optimized geometry",
  "cell": [[4.2099, 0.0000, 0.0000], [0.0000, 4.2099, 0.0000], [0.0000, 0.0000, 4.2099]],
  "species": ["Be", "Be", "Be", "Ir", "S"],
  "frac_coords": [[0.0000, 0.0000, 0.5000], [0.0000, 0.5000, 0.0000], [0.5000, 0.0000, 0.0000], [0.0000, 0.0000, 0.0000], [0.5000, 0.5000, 0.5000]],
  "raw_formation_energy_kj_per_mol_atoms": 57.7,
  "n_ef_per_ev_fu": 1.73,
  "vol_a3_per_atom": 14.92,
  "e_tot_ev_per_cell": -23.22,
  "space_group": "Pm-3m, No. 221"
}

No. 8
{
  "formula": "AlPPt",
  "functional": "PBEsol",
  "state": "optimized geometry",
  "cell": [[5.7419, 0.0000, 0.0000], [0.0000, 5.7419, 0.0000], [0.0000, 0.0000, 5.7419]],
  "species": ["Al", "Al", "Al", "Al", "P", "P", "P", "P", "Pt", "Pt", "Pt", "Pt"],
  "frac_coords": [[0.0000, 0.0000, 0.0000], [0.0000, 0.5000, 0.5000], [0.5000, 0.0000, 0.5000], [0.5000, 0.5000, 0.0000], [0.2500, 0.2500, 0.7500], [0.2500, 0.7500, 0.2500], [0.7500, 0.2500, 0.2500], [0.7500, 0.7500, 0.7500], [0.0000, 0.0000, 0.5000], [0.0000, 0.5000, 0.0000], [0.5000, 0.0000, 0.0000], [0.5000, 0.5000, 0.5000]],
  "n_ef_per_ev_fu": 0.88,
  "formation_energy_ev_per_atom": -0.253,
  "vol_a3_per_atom": 15.78,
  "e_tot_ev_per_cell": -70.42,
  "space_group": "F-43m, No. 216"
}

Number 1: calculated density 4.91 g/cm3. Number 2: calculated density 13.53 g/cm3. Number 3: calculated density 2.71 g/cm3. Number 4: calculated density 11.15 g/cm3. Number 5: calculated density 5.82 g/cm3. Number 6: calculated density 7.47 g/cm3. Number 7: calculated density 5.59 g/cm3. Number 8: calculated density 8.88 g/cm3.